Density functional theory data (PBE-GGA) for crystalline TmZrBi2 at its relaxed geometry.

```
TmZrBi2
1.0
3.684 0.000 0.000
0.000 3.684 0.000
0.000 0.000 7.802
Tm Zr Bi
1 1 2
Direct
0.000 0.000 0.000
0.000 0.000 0.500
0.500 0.500 0.266
0.500 0.500 0.734
```

## Properties
* calculated total energy: -5.542 eV per atom
* energy above the lowest structure with this stoichiometry: 125 meV/atom
* size of the total moment: 0.088 μB per atom
* DOS at the Fermi energy: 1.157 states/eV/atom
* formation energy from the elements: -0.35 eV/atom
* ρ: 10.6 g/cm³